No. 1
Y2BeTc: relaxed, PBE-GGA.

Geometry as POSCAR:
```
Y2BeTc
1.0
7.635 -0.008 -0.017
-2.998 3.739 0.006
1.640 1.313 2.841
Be Y Tc
1 2 1
direct
0.000 0.500 0.500
0.500 0.000 0.500
0.000 0.000 0.000
0.500 0.500 0.000
```

Formation energy, eV/atom: 0.127
Space-group type: No. 65
Density of states at the Fermi level, states/eV per cell: 4.2
Density, g/cm³: 5.83

=====

No. 2
YBeTc2: relaxed, PBE-GGA.

Geometry as POSCAR:
```
YBeTc2
1.0
-2.098 -3.899 -1.561
1.000 -4.130 -1.994
0.303 -3.112 3.829
Y Tc Be
1 2 1
direct
0.750 0.750 0.750
0.971 0.971 0.075
0.529 0.529 0.425
0.250 0.250 0.250
```

Formation energy, eV/atom: 0.199
Space-group type: No. 12
Density of states at the Fermi level, states/eV per cell: 3.5
Density, g/cm³: 7.35

=====

No. 3
YBeTc2: relaxed, PBE-GGA.

Geometry as POSCAR:
```
YBeTc2
1.0
-4.860 5.216 -1.553
-6.741 2.601 -1.015
-5.646 4.371 1.503
Tc Be Y
2 1 1
direct
0.027 0.027 0.027
0.473 0.473 0.473
0.750 0.750 0.750
0.250 0.250 0.250
```

Formation energy, eV/atom: 0.332
Space-group type: No. 166
Density of states at the Fermi level, states/eV per cell: 4.4
Density, g/cm³: 7.49

=====

No. 4
Y2BeTc: relaxed, PBE-GGA.

Geometry as POSCAR:
```
Y2BeTc
1.0
4.775 0.000 0.000
2.388 4.136 0.000
2.388 1.379 3.899
Y Tc Be
2 1 1
direct
0.750 0.750 0.750
0.000 0.000 0.000
0.250 0.250 0.250
0.500 0.500 0.500
```

Formation energy, eV/atom: 0.386
Space-group type: No. 216
Density of states at the Fermi level, states/eV per cell: 5.0
Density, g/cm³: 6.14

=====

No. 5
YBeTc: relaxed, PBE-GGA.

Geometry as POSCAR:
```
YBeTc
1.0
3.991 0.000 0.000
-1.996 3.457 0.000
0.000 0.000 3.862
Y Be Tc
1 1 1
direct
0.333 0.667 0.667
0.000 0.000 0.166
0.667 0.333 0.167
```

Distance to the lowest polymorph of the same formula, meV/atom: 143
Formation energy, eV/atom: 0.058
Space-group type: No. 187
Density of states at the Fermi level, states/eV per cell: 0.9
Density, g/cm³: 6.11

=====

No. 6
YBeTc: relaxed, PBE-GGA.

Geometry as POSCAR:
```
YBeTc
1.0
3.709 0.000 0.000
0.000 3.709 0.000
0.000 0.000 7.887
Tc Be Y
2 2 2
direct
0.000 0.000 0.500
0.500 0.500 0.500
0.500 0.000 0.704
0.000 0.500 0.296
0.500 0.000 0.162
0.000 0.500 0.838
```

Distance to the lowest polymorph of the same formula, meV/atom: 0
Formation energy, eV/atom: -0.085
Space-group type: No. 129
Density of states at the Fermi level, states/eV per cell: 6.3
Density, g/cm³: 6.00

=====

No. 7
YBeTc: relaxed, PBE-GGA.

Geometry as POSCAR:
```
YBeTc
1.0
-1.846 -2.492 -4.272
-3.239 -3.838 -1.625
-2.869 1.365 -0.816
Tc Be Y
1 1 1
direct
0.622 0.622 0.378
0.049 0.049 0.951
0.330 0.330 0.670
```

Distance to the lowest polymorph of the same formula, meV/atom: 79
Formation energy, eV/atom: -0.006
Space-group type: No. 107
Density of states at the Fermi level, states/eV per cell: 1.8
Density, g/cm³: 6.38

=====

No. 8
YBeTc2: relaxed, PBE-GGA.

Geometry as POSCAR:
```
YBeTc2
1.0
-0.198 -2.271 -3.588
-0.814 -2.585 1.681
-5.168 0.421 0.019
Y Be Tc
1 1 2
direct
0.500 0.250 0.250
0.500 0.750 0.750
0.000 0.571 0.569
0.000 0.929 0.931
```

Formation energy, eV/atom: 0.269
Space-group type: No. 10
Density of states at the Fermi level, states/eV per cell: 3.7
Density, g/cm³: 7.07

=====

Number 5 is which compound? YBeTc